No. 1
Computed, not measured: a relaxed LaPm5Sm2Ho crystal at the PBE level of DFT.

Computed properties:
As for the uncorrected energy: -40.254 eV/f.u. The mass density comes out at 7.1 Mg/m³. The calculated formation energy is 271 meV per atom.

Cell: 8.9443 8.9443 15.6311 Å, 90.00 90.00 90.00°
Closest atoms and distances in Å follow each position.
Space group I4/mcm (No. 140)
Asymmetric unit:
La (0.0000, 0.0000, 0.2500) [4 per cell]  10 Pm 3.67-3.91
Pm (0.0000, 0.0000, 0.0000) [4 per cell]  4 Sm 3.59, 8 Pm 3.85, 2 La 3.91
Pm (0.2069, 0.2931, 0.1362) [16 per cell]  1 Sm 3.09, 1 Ho 3.16
Sm (0.1161, 0.3839, 0.5000) [8 per cell]  1 Sm 2.94, 2 Pm 3.09
Ho (0.0000, 0.5000, 0.2500) [4 per cell]  4 Pm 3.16



No. 2
Computed, not measured: a relaxed Pr2Nd3Er8 crystal at the PBE level of DFT.

Computed properties:
As for the uncorrected energy: -57.057 eV/f.u. The mass density comes out at 7.7 Mg/m³. The calculated formation energy is 255 meV per atom.

Cell: 20.6784 7.6844 5.5854 Å, 90.00 90.04 90.00°
Closest atoms and distances in Å follow each position.
Space group C2/m (No. 12)
Asymmetric unit:
Pr (0.2409, 0.0000, 0.4992) [4 per cell]  8 Er 3.42-3.62
Nd (0.0000, 0.0000, 0.5000) [2 per cell]  4 Er 3.15
Nd (0.0000, 0.2937, 0.0000) [4 per cell]  1 Nd 3.17, 2 Er 3.51
Er (0.1083, 0.2888, 0.5000) [8 per cell]  1 Nd 3.15, 3 Er 3.25-3.43, 2 Pr 3.52-3.53
Er (0.1299, 0.0000, 0.9996) [4 per cell]  4 Nd 3.51-3.88, 6 Er 3.59-3.90, 2 Pr 3.61-3.62
Er (0.1636, 0.5000, 0.0005) [4 per cell]  2 Pr 3.42, 4 Er 3.42-3.43, 2 Nd 3.74



No. 3
Computed, not measured: a relaxed LaZrPb crystal at the PBE level of DFT.

Computed properties:
As for the uncorrected energy: -17.419 eV/f.u. The mass density comes out at 8.5 Mg/m³. The calculated formation energy is -78 meV per atom.

Cell: 4.4143 5.1722 14.9815 Å, 90.00 90.00 90.00°
Closest atoms and distances in Å follow each position.
Space group Fmm2 (No. 42)
Asymmetric unit:
La (0.0000, 0.0000, 0.0000) [4 per cell]  4 Zr 3.35-3.61, 4 La 3.40, 4 Pb 3.50-3.75
Zr (0.0000, 0.0000, 0.3314) [4 per cell]  4 Pb 3.15-3.43, 2 La 3.35, 4 Zr 3.40
Pb (0.0000, 0.0000, 0.6812) [4 per cell]  4 Zr 3.15-3.43, 4 Pb 3.40, 2 La 3.50



No. 4
Computed, not measured: a relaxed TbPm8Pr2 crystal at the PBE level of DFT.

Computed properties:
As for the uncorrected energy: -52.037 eV/f.u. The mass density comes out at 7.0 Mg/m³. The calculated formation energy is 14 meV per atom.

Cell: 18.6136 5.1663 8.1754 Å, 90.00 105.28 90.00°
Closest atoms and distances in Å follow each position.
Space group C2/m (No. 12)
Asymmetric unit:
Tb (0.0000, 0.0000, 0.0000) [2 per cell]  12 Pm 3.63-3.64
Pm (0.0450, 0.5000, 0.7284) [4 per cell]  9 Pm 3.62-3.67, 2 Tb 3.64, 1 Pr 3.66
Pm (0.0900, 0.0000, 0.4524) [4 per cell]  8 Pm 3.63-3.67, 1 Tb 3.64, 3 Pr 3.66-3.67
Pm (0.1352, 0.5000, 0.1789) [4 per cell]  7 Pm 3.62-3.67, 2 Tb 3.63, 3 Pr 3.67-3.68
Pm (0.1811, 0.0000, 0.9091) [4 per cell]  1 Tb 3.64, 8 Pm 3.64-3.67, 3 Pr 3.65
Pr (0.2269, 0.5000, 0.6370) [4 per cell]  10 Pm 3.65-3.68, 2 Pr 3.67



No. 5
Computed, not measured: a relaxed KGaCu2S4 crystal at the PBE level of DFT.

Computed properties:
As for the uncorrected energy: -32.521 eV/f.u. As for the formation energy from raw total energies: -0.462 eV/atom. The mass density comes out at 3.6 Mg/m³.

Cell: 6.2783 6.2783 8.4330 Å, 90.00 90.00 90.00°
Closest atoms and distances in Å follow each position.
Space group I-42m (No. 121)
Asymmetric unit:
K (0.0000, 0.0000, 0.0000) [2 per cell]  8 S 2.99-3.33
Ga (0.0000, 0.0000, 0.5000) [2 per cell]  4 S 2.30
Cu (0.0000, 0.5000, 0.2500) [4 per cell]  4 S 2.36
S (0.2037, 0.2037, 0.6684) [8 per cell]  1 Ga 2.30, 2 Cu 2.36



No. 6
Computed, not measured: a relaxed TmZnAg4 crystal at the PBE level of DFT.

Computed properties:
As for the uncorrected energy: -17.799 eV/f.u. The mass density comes out at 9.7 Mg/m³. The calculated formation energy is -108 meV per atom.

Cell: 3.3367 3.5671 9.5951 Å, 90.00 90.17 90.00°
Closest atoms and distances in Å follow each position.
Space group P2/m (No. 10)
Asymmetric unit:
Tm (0.0000, 0.0000, 0.0000) [1 per cell]  10 Ag 3.03-3.36, 2 Tm 3.34
Zn (0.5000, 0.5000, 0.5000) [1 per cell]  10 Ag 2.83-2.99
Ag (0.9998, 0.0000, 0.3507) [2 per cell]  4 Zn 2.83, 5 Ag 2.87-2.90
Ag (0.4994, 0.5000, 0.1884) [2 per cell]  4 Ag 2.89-2.90, 1 Zn 2.99, 4 Tm 3.03-3.04



No. 7
Computed, not measured: a relaxed Ba11Ta6S26 crystal at the PBE level of DFT.

Computed properties:
As for the uncorrected energy: -267.239 eV/f.u. As for the formation energy from raw total energies: -1.573 eV/atom. The mass density comes out at 4.8 Mg/m³.

Cell: 6.9038 12.2647 14.4628 Å, 97.04 103.03 90.11°
Closest atoms and distances in Å follow each position.
Space group P1 (No. 1)
Asymmetric unit:
Ba (0.0000, 0.0000, 0.0000) [1 per cell]  4 S 3.03-3.29
Ba (0.0042, 0.6883, 0.2060) [1 per cell]  5 S 3.13-3.40
Ba (0.0962, 0.3481, 0.2166) [1 per cell]  8 S 3.13-3.50
Ba (0.2089, 0.0657, 0.4199) [1 per cell]  5 S 3.02-3.38
Ba (0.2996, 0.4226, 0.6010) [1 per cell]  8 S 3.28-3.62
Ba (0.4211, 0.1269, 0.8176) [1 per cell]  10 S 3.28-3.63
Ba (0.5001, 0.4780, 0.0043) [1 per cell]  5 S 3.02-3.34
Ba (0.6087, 0.1408, 0.2018) [1 per cell]  6 S 3.14-3.47
Ba (0.7168, 0.5378, 0.4196) [1 per cell]  5 S 3.00-3.34
Ba (0.7633, 0.9030, 0.5847) [1 per cell]  7 S 3.23-3.43
Ba (0.9031, 0.6230, 0.8105) [1 per cell]  10 S 3.25-3.62
Ta (0.2210, 0.7227, 0.4779) [1 per cell]  3 S 2.30-2.34
Ta (0.3586, 0.7875, 0.7153) [1 per cell]  6 S 2.34-2.59
Ta (0.4897, 0.7988, 0.9578) [1 per cell]  4 S 2.24-2.50
Ta (0.7343, 0.2220, 0.4803) [1 per cell]  4 S 2.30-2.50
Ta (0.8873, 0.2779, 0.7128) [1 per cell]  6 S 2.36-2.60
Ta (0.9642, 0.3140, 0.9447) [1 per cell]  3 S 2.28-2.35
S (0.0165, 0.4956, 0.0196) [1 per cell]  1 Ta 2.34
S (0.0699, 0.6603, 0.6145) [1 per cell]  2 Ta 2.58-2.62
S (0.0721, 0.1825, 0.6105) [1 per cell]  1 Ta 2.37
S (0.0759, 0.0902, 0.2099) [1 per cell]  4 Ba 3.02-3.26
S (0.1592, 0.3836, 0.8112) [1 per cell]  1 Ta 2.36
S (0.1771, 0.8541, 0.8327) [1 per cell]  2 Ta 2.40-2.63
S (0.2258, 0.5507, 0.3902) [1 per cell]  1 Ta 2.33
S (0.2493, 0.9140, 0.6046) [1 per cell]  1 Ta 2.37
S (0.2690, 0.2474, 0.0227) [1 per cell]  1 Ta 2.35
S (0.3602, 0.7352, 0.0704) [1 per cell]  1 Ta 2.24
S (0.3948, 0.8229, 0.3967) [1 per cell]  1 Ta 2.30
S (0.4342, 0.6379, 0.8295) [1 per cell]  2 Ta 2.50-2.59
S (0.4583, 0.2894, 0.3855) [1 per cell]  1 Ta 2.30
S (0.5065, 0.9914, 0.0039) [1 per cell]  1 Ta 2.37
S (0.5327, 0.6741, 0.6042) [1 per cell]  2 Ta 2.51-2.61
S (0.5817, 0.1623, 0.6079) [1 per cell]  2 Ta 2.50-2.60
S (0.6567, 0.8820, 0.7934) [1 per cell]  1 Ta 2.34
S (0.6663, 0.3631, 0.8169) [1 per cell]  2 Ta 2.52-2.56
S (0.7195, 0.4914, 0.2112) [1 per cell]  4 Ba 3.00-3.13
S (0.7272, 0.0451, 0.4014) [1 per cell]  1 Ta 2.32
S (0.7625, 0.2453, 0.0305) [1 per cell]  1 Ta 2.28
S (0.7773, 0.4113, 0.6046) [1 per cell]  1 Ta 2.41
S (0.8269, 0.7615, 0.0050) [1 per cell]  1 Ta 2.34
S (0.8999, 0.7704, 0.4044) [1 per cell]  1 Ta 2.34
S (0.9297, 0.1368, 0.8214) [1 per cell]  2 Ta 2.45-2.61
S (0.9701, 0.3061, 0.4142) [1 per cell]  1 Ta 2.36



No. 8
Computed, not measured: a relaxed TbY14Pu crystal at the PBE level of DFT.

Computed properties:
As for the uncorrected energy: -108.727 eV/f.u. The mass density comes out at 5.3 Mg/m³. The calculated formation energy is 46 meV per atom.

Cell: 7.1390 7.1390 10.0403 Å, 90.00 90.00 90.00°
Closest atoms and distances in Å follow each position.
Space group P4/mmm (No. 123)
Asymmetric unit:
Tb (0.0000, 0.0000, 0.0000) [1 per cell]  12 Y 3.55-3.57
Y (0.0000, 0.0000, 0.5000) [1 per cell]  12 Y 3.57-3.59
Y (0.0000, 0.5000, 0.0000) [2 per cell]  8 Y 3.54, 2 Tb 3.57, 2 Pu 3.57
Y (0.0000, 0.5000, 0.5000) [2 per cell]  12 Y 3.57-3.58
Y (0.2517, 0.2517, 0.2474) [8 per cell]  1 Pu 3.53, 10 Y 3.54-3.59, 1 Tb 3.55
Y (0.5000, 0.5000, 0.5000) [1 per cell]  12 Y 3.57
Pu (0.5000, 0.5000, 0.0000) [1 per cell]  12 Y 3.53-3.57



No. 9
Computed, not measured: a relaxed LiZr2MnH crystal at the PBE level of DFT.

Computed properties:
As for the uncorrected energy: -31.647 eV/f.u. The mass density comes out at 5.7 Mg/m³.

Cell: 4.5804 4.5804 3.3784 Å, 90.00 90.00 90.00°
Closest atoms and distances in Å follow each position.
Space group P4/mmm (No. 123)
Asymmetric unit:
Li (0.0000, 0.0000, 0.0000) [1 per cell]  8 Zr 2.85
Zr (0.0000, 0.5000, 0.5000) [2 per cell]  2 H 2.29
Mn (0.5000, 0.5000, 0.0000) [1 per cell]  2 H 1.69
H (0.5000, 0.5000, 0.5000) [1 per cell]  2 Mn 1.69



No. 10
Computed, not measured: a relaxed IrPdRh4 crystal at the PBE level of DFT.

Computed properties:
As for the uncorrected energy: -43.271 eV/f.u. The mass density comes out at 13.6 Mg/m³. The calculated formation energy is 31 meV per atom.

Cell: 2.7341 2.7341 11.5694 Å, 90.00 90.00 90.00°
Closest atoms and distances in Å follow each position.
Space group P4/mmm (No. 123)
Asymmetric unit:
Ir (0.0000, 0.0000, 0.0000) [1 per cell]  8 Rh 2.71, 4 Ir 2.73
Pd (0.5000, 0.5000, 0.5000) [1 per cell]  4 Pd 2.73, 8 Rh 2.77
Rh (0.0000, 0.0000, 0.3289) [2 per cell]  8 Rh 2.71-2.73, 4 Pd 2.77
Rh (0.5000, 0.5000, 0.1648) [2 per cell]  8 Rh 2.71-2.73, 4 Ir 2.71



No. 11
Computed, not measured: a relaxed TbPm5Er2 crystal at the PBE level of DFT.

Computed properties:
As for the uncorrected energy: -37.384 eV/f.u. The mass density comes out at 7.7 Mg/m³. The calculated formation energy is 16 meV per atom.

Cell: 7.2030 14.4074 5.0928 Å, 90.00 90.00 90.00°
Closest atoms and distances in Å follow each position.
Space group Pbam (No. 55)
Asymmetric unit:
Tb (0.0000, 0.0000, 0.0000) [2 per cell]  8 Pm 3.59-3.60, 4 Er 3.60
Pm (0.0000, 0.2493, 0.0000) [4 per cell]  1 Tb 3.59, 7 Pm 3.60-3.61, 4 Er 3.60-3.61
Pm (0.0000, 0.5000, 0.0000) [2 per cell]  4 Er 3.60, 6 Pm 3.60-3.61, 2 Tb 3.60
Pm (0.2494, 0.1244, 0.5000) [4 per cell]  4 Er 3.58-3.62, 2 Tb 3.59, 6 Pm 3.60-3.61
Er (0.2504, 0.3756, 0.5000) [4 per cell]  10 Pm 3.58-3.62, 2 Tb 3.60



No. 12
Computed, not measured: a relaxed Ba2H4IrAu2 crystal at the PBE level of DFT.

Computed properties:
As for the uncorrected energy: -37.060 eV/f.u. The mass density comes out at 8.8 Mg/m³.

Cell: 6.3335 6.3335 8.1062 Å, 90.00 90.00 90.00°
Closest atoms and distances in Å follow each position.
Space group I4/mmm (No. 139)
Asymmetric unit:
Ba (0.0000, 0.5000, 0.2500) [4 per cell]  8 H 3.07, 4 Au 3.24
H (0.1902, 0.1902, 0.0000) [8 per cell]  1 Ir 1.70
Ir (0.0000, 0.0000, 0.0000) [2 per cell]  4 H 1.70
Au (0.0000, 0.0000, 0.3356) [4 per cell]  1 Au 2.67, 1 Ir 2.72



Question: Number 11 is which compound?
Answer: TbPm5Er2



Question: The highest mass density belongs to which entry?
Answer: IrPdRh4



Copy entry 2 word for word.
Computed, not measured: a relaxed Pr2Nd3Er8 crystal at the PBE level of DFT.

Computed properties:
As for the uncorrected energy: -57.057 eV/f.u. The mass density comes out at 7.7 Mg/m³. The calculated formation energy is 255 meV per atom.

Cell: 20.6784 7.6844 5.5854 Å, 90.00 90.04 90.00°
Closest atoms and distances in Å follow each position.
Space group C2/m (No. 12)
Asymmetric unit:
Pr (0.2409, 0.0000, 0.4992) [4 per cell]  8 Er 3.42-3.62
Nd (0.0000, 0.0000, 0.5000) [2 per cell]  4 Er 3.15
Nd (0.0000, 0.2937, 0.0000) [4 per cell]  1 Nd 3.17, 2 Er 3.51
Er (0.1083, 0.2888, 0.5000) [8 per cell]  1 Nd 3.15, 3 Er 3.25-3.43, 2 Pr 3.52-3.53
Er (0.1299, 0.0000, 0.9996) [4 per cell]  4 Nd 3.51-3.88, 6 Er 3.59-3.90, 2 Pr 3.61-3.62
Er (0.1636, 0.5000, 0.0005) [4 per cell]  2 Pr 3.42, 4 Er 3.42-3.43, 2 Nd 3.74



Question: Among the records above, which one has the lowest mass density?
Answer: KGaCu2S4